ErTh2Si3Ni12 | GGA-PBE | relaxed

V = 16.68 Å³/atom
Symmetry = R-3m, No. 166
Spin magnetization = 0.0000 μB/atom
E_tot = -5.89 eV/atom
Formation energy (no corrections) = -56 meV/atom

a = 7.6079 Å, b = 7.6079 Å, c = 7.6079 Å
α = 58.43°, β = 58.43°, γ = 58.43°
Closest atoms and distances in Å follow each position.
Atoms (fractional coordinates):
Ni  0.5303  0.1632  0.1632  1 Si 2.31, 2 Ni 2.49
Si  0.0000  0.0000  0.5000  6 Ni 2.17-2.31
Er  0.0000  0.0000  0.0000  6 Ni 2.86
Si  0.5000  0.0000  0.0000  6 Ni 2.17-2.31
Ni  0.3550  0.8816  0.3550  2 Si 2.17
Si  0.0000  0.5000  0.0000  6 Ni 2.17-2.31
Ni  0.8368  0.4697  0.8368  1 Si 2.31, 2 Ni 2.49
Ni  0.4697  0.8368  0.8368  1 Si 2.31, 2 Ni 2.49
Th  0.6005  0.6005  0.6005  6 Ni 2.62-2.66
Ni  0.3550  0.3550  0.8816  2 Si 2.17
Ni  0.6450  0.1184  0.6450  2 Si 2.17
Ni  0.1184  0.6450  0.6450  2 Si 2.17
Ni  0.8816  0.3550  0.3550  2 Si 2.17
Th  0.3995  0.3995  0.3995  6 Ni 2.62-2.66
Ni  0.8368  0.8368  0.4697  1 Si 2.31, 2 Ni 2.49
Ni  0.1632  0.1632  0.5303  1 Si 2.31, 2 Ni 2.49
Ni  0.1632  0.5303  0.1632  1 Si 2.31, 2 Ni 2.49
Ni  0.6450  0.6450  0.1184  2 Si 2.17

---

AcHoGe2Pd5 | GGA-PBE | relaxed

V = 19.31 Å³/atom
Symmetry = P4/mmm, No. 123
Spin magnetization = 0.0000 μB/atom
Energy of formation from the pure elements = -0.76 eV per atom
E_tot = -5.64 eV/atom

a = 4.3614 Å, b = 4.3614 Å, c = 9.1345 Å
α = 90.00°, β = 90.00°, γ = 90.00°
Closest atoms and distances in Å follow each position.
Atoms (fractional coordinates):
Ge  0.5000  0.5000  0.8667  1 Ge 2.44, 4 Pd 2.48
Pd  0.5000  0.0000  0.2626  2 Ge 2.48
Pd  0.0000  0.5000  0.2626  2 Ge 2.48
Ge  0.5000  0.5000  0.1333  1 Ge 2.44, 4 Pd 2.48
Pd  0.5000  0.5000  0.5000  8 Pd 3.08, 4 Ac 3.08, 2 Ge 3.35
Pd  0.0000  0.5000  0.7374  2 Ge 2.48
Ac  0.0000  0.0000  0.5000  12 Pd 3.08
Pd  0.5000  0.0000  0.7374  2 Ge 2.48
Ho  0.0000  0.0000  0.0000  8 Pd 3.24, 8 Ge 3.32

---

TlCu2RuN | GGA-PBE | relaxed

V = 23.16 Å³/atom
Symmetry = P4/mmm, No. 123
Spin magnetization = 0.7588 μB/atom
E_tot = -3.73 eV/atom
Formation energy (no corrections) = 1897 meV/atom

a = 4.6862 Å, b = 5.2741 Å, c = 4.6862 Å
α = 90.00°, β = 90.00°, γ = 90.00°
Closest atoms and distances in Å follow each position.
Atoms (fractional coordinates):
Ru  0.0000  0.0000  0.0000  4 Cu 2.34
Cu  0.5000  0.0000  0.0000  2 Ru 2.34
Cu  0.0000  0.0000  0.5000  2 Ru 2.34
N  0.5000  0.5000  0.5000  4 Tl 3.31, 8 Cu 3.53
Tl  0.0000  0.5000  0.0000  2 Ru 2.64

---

Q: Which of these has the lowest E_tot?
A: ErTh2Si3Ni12

---

Q: Among the records above, which one has the highest E_tot?
A: TlCu2RuN